(1)
The following is a PBE-GGA calculation of a geometry-optimized Nd4YSc2 structure, from Alexandria.

- E_form: 121.3 kJ/mol of formula units
- Space group: P2_1/m
- Excess energy over the best structure of this formula in the dataset: 0.119 eV/atom

Cell lengths 8.776, 6.473, 8.905 Å; angles 90.00, 117.29, 90.00 degrees
Fractional positions:
Nd  0.005  0.250  0.069
Nd  0.046  0.750  0.327
Nd  0.407  0.507  0.266
Nd  0.407  0.993  0.266
Nd  0.593  0.007  0.734
Nd  0.593  0.493  0.734
Nd  0.954  0.250  0.673
Nd  0.995  0.750  0.931
Y  0.250  0.750  0.759
Y  0.750  0.250  0.241
Sc  0.204  0.250  0.500
Sc  0.365  0.250  0.918
Sc  0.635  0.750  0.082
Sc  0.796  0.750  0.500



(2)
The following is a PBE-GGA calculation of a geometry-optimized AlOs2Br structure, from Alexandria.

- Space group: Fm-3m
- Uncorrected formation energy: 947 meV/atom
- Excess energy over the best structure of this formula in the dataset: 0.686 eV/atom

Cell lengths 6.235, 6.235, 6.235 Å; angles 90.00, 90.00, 90.00 degrees
Fractional positions:
Al  0.000  0.000  0.000
Al  0.000  0.500  0.500
Al  0.500  0.000  0.500
Al  0.500  0.500  0.000
Os  0.250  0.250  0.250
Os  0.250  0.250  0.750
Os  0.250  0.750  0.250
Os  0.250  0.750  0.750
Os  0.750  0.250  0.250
Os  0.750  0.250  0.750
Os  0.750  0.750  0.250
Os  0.750  0.750  0.750
Br  0.000  0.000  0.500
Br  0.000  0.500  0.000
Br  0.500  0.000  0.000
Br  0.500  0.500  0.500



(3)
The following is a PBE-GGA calculation of a geometry-optimized Sr2RhAuC structure, from Alexandria.

- E_form: -154.4 kJ/mol of formula units
- Space group: P4/mmm

Cell lengths 5.511, 5.511, 3.880 Å; angles 90.00, 90.00, 90.00 degrees
Fractional positions:
Sr  0.000  0.500  0.000
Sr  0.500  0.000  0.000
Rh  0.000  0.000  0.500
Au  0.500  0.500  0.500
C  0.000  0.000  0.000



(4)
The following is a PBE-GGA calculation of a geometry-optimized FeCu4Br structure, from Alexandria.

- Space group: F-43m
- Uncorrected formation energy: 499 meV/atom

Cell lengths 4.981, 4.981, 4.981 Å; angles 60.00, 60.00, 60.00 degrees
Fractional positions:
Fe  0.000  0.000  0.000
Cu  0.374  0.374  0.374
Cu  0.374  0.374  0.877
Cu  0.374  0.877  0.374
Cu  0.877  0.374  0.374
Br  0.750  0.750  0.750



(5)
The following is a PBE-GGA calculation of a geometry-optimized CaCoOs2 structure, from Alexandria.

- E_form: 159.6 kJ/mol of formula units
- Space group: Amm2
- Excess energy over the best structure of this formula in the dataset: 0.063 eV/atom

Cell lengths 4.248, 2.772, 11.074 Å; angles 90.00, 90.00, 90.00 degrees
Fractional positions:
Ca  0.000  0.000  0.000
Ca  0.000  0.500  0.500
Co  0.500  0.000  0.625
Co  0.500  0.500  0.125
Os  0.000  0.000  0.744
Os  0.000  0.500  0.244
Os  0.500  0.000  0.317
Os  0.500  0.500  0.817



(6)
The following is a PBE-GGA calculation of a geometry-optimized BN structure, from Alexandria.

- Space group: P4/nmm
- Uncorrected formation energy: -175 meV/atom
- Excess energy over the best structure of this formula in the dataset: 1.112 eV/atom

Cell lengths 2.777, 2.777, 4.831 Å; angles 90.00, 90.00, 90.00 degrees
Fractional positions:
B  0.250  0.750  0.000
B  0.750  0.250  0.000
N  0.250  0.250  0.155
N  0.750  0.750  0.845



(7)
The following is a PBE-GGA calculation of a geometry-optimized AlOs2W structure, from Alexandria.

- E_form: -10.3 kJ/mol of formula units
- Space group: Cm

Cell lengths 9.264, 2.821, 4.654 Å; angles 90.00, 101.05, 90.00 degrees
Fractional positions:
Al  0.000  0.000  0.000
Al  0.500  0.500  0.000
Os  0.249  0.500  0.183
Os  0.482  0.000  0.495
Os  0.749  0.000  0.183
Os  0.982  0.500  0.495
W  0.237  0.000  0.685
W  0.737  0.500  0.685



(8)
The following is a PBE-GGA calculation of a geometry-optimized Sn2SbBr structure, from Alexandria.

- Space group: Fm-3m
- Uncorrected formation energy: -111 meV/atom
- Excess energy over the best structure of this formula in the dataset: 0.121 eV/atom

Cell lengths 7.643, 7.643, 7.643 Å; angles 90.00, 90.00, 90.00 degrees
Fractional positions:
Sn  0.250  0.250  0.250
Sn  0.250  0.250  0.750
Sn  0.250  0.750  0.250
Sn  0.250  0.750  0.750
Sn  0.750  0.250  0.250
Sn  0.750  0.250  0.750
Sn  0.750  0.750  0.250
Sn  0.750  0.750  0.750
Sb  0.000  0.000  0.000
Sb  0.000  0.500  0.500
Sb  0.500  0.000  0.500
Sb  0.500  0.500  0.000
Br  0.000  0.000  0.500
Br  0.000  0.500  0.000
Br  0.500  0.000  0.000
Br  0.500  0.500  0.500



(9)
The following is a PBE-GGA calculation of a geometry-optimized Mn2GaP2 structure, from Alexandria.

- E_form: -86.0 kJ/mol of formula units
- Space group: I4/mmm

Cell lengths 3.375, 3.375, 11.215 Å; angles 90.00, 90.00, 90.00 degrees
Fractional positions:
Mn  0.000  0.000  0.118
Mn  0.000  0.000  0.882
Mn  0.500  0.500  0.382
Mn  0.500  0.500  0.618
Ga  0.000  0.000  0.500
Ga  0.500  0.500  0.000
P  0.000  0.500  0.250
P  0.000  0.500  0.750
P  0.500  0.000  0.250
P  0.500  0.000  0.750



(10)
The following is a PBE-GGA calculation of a geometry-optimized Ho2MgPa structure, from Alexandria.

- E_form: 110.0 kJ/mol of formula units
- Space group: R-3m
- Excess energy over the best structure of this formula in the dataset: 0.236 eV/atom

Cell lengths 3.230, 3.230, 36.457 Å; angles 90.00, 90.00, 120.00 degrees
Fractional positions:
Ho  0.000  0.000  0.088
Ho  0.000  0.000  0.912
Ho  0.333  0.667  0.578
Ho  0.333  0.667  0.755
Ho  0.667  0.333  0.245
Ho  0.667  0.333  0.422
Mg  0.000  0.000  0.500
Mg  0.333  0.667  0.167
Mg  0.667  0.333  0.833
Pa  0.000  0.000  0.000
Pa  0.333  0.667  0.667
Pa  0.667  0.333  0.333



(11)
The following is a PBE-GGA calculation of a geometry-optimized AlTlP structure, from Alexandria.

- E_form: 192.4 kJ/mol of formula units
- Space group: F-43m
- Excess energy over the best structure of this formula in the dataset: 0.795 eV/atom

Cell lengths 6.740, 6.740, 6.740 Å; angles 90.00, 90.00, 90.00 degrees
Fractional positions:
Al  0.000  0.000  0.000
Al  0.000  0.500  0.500
Al  0.500  0.000  0.500
Al  0.500  0.500  0.000
Tl  0.250  0.250  0.250
Tl  0.250  0.750  0.750
Tl  0.750  0.250  0.750
Tl  0.750  0.750  0.250
P  0.000  0.000  0.500
P  0.000  0.500  0.000
P  0.500  0.000  0.000
P  0.500  0.500  0.500



(12)
The following is a PBE-GGA calculation of a geometry-optimized PrMgGa2Cu4 structure, from Alexandria.

- E_form: -172.0 kJ/mol of formula units
- Space group: R-3m

Cell lengths 9.267, 9.267, 9.267 Å; angles 26.35, 26.35, 26.35 degrees
Fractional positions:
Pr  0.000  0.000  0.000
Mg  0.500  0.500  0.500
Ga  0.245  0.245  0.245
Ga  0.755  0.755  0.755
Cu  0.117  0.117  0.117
Cu  0.405  0.405  0.405
Cu  0.595  0.595  0.595
Cu  0.883  0.883  0.883



(13)
The following is a PBE-GGA calculation of a geometry-optimized Rb3CeNp3Se8 structure, from Alexandria.

- Space group: R-3m
- Uncorrected formation energy: -1353 meV/atom

Cell lengths 9.475, 9.475, 9.475 Å; angles 53.51, 53.51, 53.51 degrees
Fractional positions:
Rb  0.000  0.500  0.500
Rb  0.500  0.000  0.500
Rb  0.500  0.500  0.000
Ce  0.500  0.500  0.500
Np  0.000  0.000  0.500
Np  0.000  0.500  0.000
Np  0.500  0.000  0.000
Se  0.227  0.733  0.733
Se  0.231  0.231  0.231
Se  0.267  0.267  0.773
Se  0.267  0.773  0.267
Se  0.733  0.227  0.733
Se  0.733  0.733  0.227
Se  0.769  0.769  0.769
Se  0.773  0.267  0.267



(14)
The following is a PBE-GGA calculation of a geometry-optimized NaDy4YSe8 structure, from Alexandria.

- Space group: R3m
- Uncorrected formation energy: -1773 meV/atom

Cell lengths 8.463, 8.463, 8.463 Å; angles 59.95, 59.95, 59.95 degrees
Fractional positions:
Na  0.000  0.000  0.000
Dy  0.370  0.370  0.890
Dy  0.370  0.890  0.370
Dy  0.750  0.750  0.750
Dy  0.890  0.370  0.370
Y  0.370  0.370  0.370
Se  0.134  0.134  0.595
Se  0.134  0.595  0.134
Se  0.135  0.135  0.135
Se  0.149  0.617  0.617
Se  0.595  0.134  0.134
Se  0.617  0.149  0.617
Se  0.617  0.617  0.149
Se  0.617  0.617  0.617



(15)
The following is a PBE-GGA calculation of a geometry-optimized CaUHg2 structure, from Alexandria.

- E_form: -14.6 kJ/mol of formula units
- Space group: P4/mmm

Cell lengths 5.610, 5.610, 3.283 Å; angles 90.00, 90.00, 90.00 degrees
Fractional positions:
Ca  0.000  0.000  0.000
U  0.500  0.500  0.000
Hg  0.000  0.500  0.500
Hg  0.500  0.000  0.500



(16)
The following is a PBE-GGA calculation of a geometry-optimized Y2CuPb structure, from Alexandria.

- E_form: -85.5 kJ/mol of formula units
- Space group: I-4m2

Cell lengths 4.367, 4.367, 10.622 Å; angles 90.00, 90.00, 90.00 degrees
Fractional positions:
Y  0.000  0.000  0.000
Y  0.000  0.500  0.250
Y  0.500  0.000  0.750
Y  0.500  0.500  0.500
Cu  0.000  0.500  0.750
Cu  0.500  0.000  0.250
Pb  0.000  0.000  0.500
Pb  0.500  0.500  0.000



(17)
The following is a PBE-GGA calculation of a geometry-optimized Tb2Ga3Cu4 structure, from Alexandria.

- E_form: -299.7 kJ/mol of formula units
- Space group: Cmce

Cell lengths 8.055, 8.055, 7.358 Å; angles 90.00, 90.00, 139.75 degrees
Fractional positions:
Tb  0.105  0.895  0.903
Tb  0.395  0.605  0.403
Tb  0.605  0.395  0.597
Tb  0.895  0.105  0.097
Ga  0.000  0.000  0.500
Ga  0.016  0.484  0.750
Ga  0.484  0.016  0.250
Ga  0.500  0.500  0.000
Ga  0.516  0.984  0.750
Ga  0.984  0.516  0.250
Cu  0.173  0.827  0.510
Cu  0.183  0.317  0.750
Cu  0.317  0.183  0.250
Cu  0.327  0.673  0.010
Cu  0.673  0.327  0.990
Cu  0.683  0.817  0.750
Cu  0.817  0.683  0.250
Cu  0.827  0.173  0.490



(18)
The following is a PBE-GGA calculation of a geometry-optimized Tb3GeSO structure, from Alexandria.

- Space group: P2_1/m
- Uncorrected formation energy: -1938 meV/atom

Cell lengths 8.198, 3.964, 8.652 Å; angles 90.00, 100.92, 90.00 degrees
Fractional positions:
Tb  0.092  0.250  0.333
Tb  0.324  0.250  0.990
Tb  0.399  0.750  0.644
Tb  0.601  0.250  0.356
Tb  0.676  0.750  0.010
Tb  0.908  0.750  0.667
Ge  0.330  0.750  0.286
Ge  0.670  0.250  0.714
S  0.152  0.250  0.659
S  0.848  0.750  0.341
O  0.403  0.750  0.907
O  0.597  0.250  0.093



(19)
The following is a PBE-GGA calculation of a geometry-optimized CeEr2In9 structure, from Alexandria.

- E_form: -457.9 kJ/mol of formula units
- Space group: P4/mmm

Cell lengths 4.653, 4.653, 13.950 Å; angles 90.00, 90.00, 90.00 degrees
Fractional positions:
Ce  0.000  0.000  0.000
Er  0.000  0.000  0.336
Er  0.000  0.000  0.664
In  0.000  0.500  0.170
In  0.000  0.500  0.500
In  0.000  0.500  0.830
In  0.500  0.000  0.170
In  0.500  0.000  0.500
In  0.500  0.000  0.830
In  0.500  0.500  0.000
In  0.500  0.500  0.334
In  0.500  0.500  0.666



(20)
The following is a PBE-GGA calculation of a geometry-optimized Rb8HPtAu2 structure, from Alexandria.

- Space group: P2/m
- Energy: -2.036 eV per atom

Cell lengths 8.023, 9.382, 8.172 Å; angles 90.00, 90.63, 90.00 degrees
Fractional positions:
Rb  0.211  0.237  0.167
Rb  0.211  0.763  0.167
Rb  0.249  0.000  0.710
Rb  0.260  0.500  0.685
Rb  0.740  0.500  0.315
Rb  0.751  0.000  0.290
Rb  0.789  0.237  0.833
Rb  0.789  0.763  0.833
H  0.000  0.000  0.000
Pt  0.000  0.500  0.000
Au  0.500  0.237  0.500
Au  0.500  0.763  0.500



Computed values of total magnetic moment (unit: μB/cell) for the preceding records, in sequence: 0.0, 0.0, 0.0, 3.0, 0.0, 0.0, 0.0, 0.0, 0.0, 0.0, 0.0, 0.0, 12.0, 0.0, 3.2, 0.0, 0.0, 0.0, 0.7, 0.0.